*one*
The following is a DFT calculation (PBE) of crystalline Sc3BRh at its relaxed geometry.

Results
SG: No. 221

a b c (Å): 4.552 4.552 4.552
angles (deg): 90.00 90.00 90.00
Positions (direct):
Sc 0.500 0.000 0.000
Sc 0.000 0.500 0.000
Sc 0.000 0.000 0.500
Rh 0.500 0.500 0.500
B 0.000 0.000 0.000



*two*
The following is a DFT calculation (PBE) of crystalline Sc3BRh at its relaxed geometry.

Results
SG: No. 221

a b c (Å): 4.895 4.895 4.895
angles (deg): 90.00 90.00 90.00
Positions (direct):
B 0.500 0.500 0.500
Sc 0.000 0.500 0.000
Sc 0.000 0.000 0.500
Sc 0.500 0.000 0.000
Rh 0.000 0.000 0.000



Preferred: *one*; penalty for the next structure: 761 meV per atom.